Computed, not measured: a geometry-optimized Na2W2O5 structure at the PBE with a Hubbard U level of DFT.

a = 8.4795 Å, b = 8.4795 Å, c = 8.4795 Å
α = 57.40°, β = 140.04°, γ = 140.55°
Closest atoms and distances in Å follow each position.
Positions (direct):
Na 0.0256 0.1052 0.1308  4 O 2.31-2.55
Na 0.0256 0.3948 0.4204  4 O 2.31-2.55
Na 0.9744 0.6052 0.5796  4 O 2.31-2.55
Na 0.9744 0.8948 0.8692  4 O 2.31-2.55
W 0.4707 0.4707 0.0000  6 O 2.06-2.16
W 0.4707 0.9707 0.5000  6 O 2.06-2.16
W 0.5069 0.8118 0.1951  4 O 1.94-2.04
W 0.6167 0.3118 0.8049  4 O 1.94-2.04
O 0.0330 0.6531 0.8798  2 W 2.00-2.04
O 0.3606 0.0913 0.5505  2 W 1.94-2.16
O 0.3606 0.3101 0.7693  2 W 1.94-2.16
O 0.4744 0.1986 0.2283  2 W 2.06-2.07
O 0.4744 0.7461 0.7758  2 W 2.06-2.07
O 0.5409 0.5913 0.2307  2 W 1.94-2.16
O 0.5409 0.8101 0.4495  2 W 1.94-2.16
O 0.7733 0.1531 0.1202  2 W 2.00-2.04
O 0.9703 0.2461 0.7717  2 W 2.06-2.07
O 0.9703 0.6986 0.2242  2 W 2.06-2.07

Properties
magnetic moment: 4.000 μB per formula unit
electronic total energy: -6.40 eV per atom
space group: No. 46